--- i ---
Here is a geometry-optimized Ba2SnHg5 structure from Alexandria via LeMat-Bulk. Energies are from GGA-PBE.

```
data_Ba2SnHg5
_chemical_formula_sum 'Ba4 Sn2 Hg10'
_space_group_name_H-M_alt 'C 1 m 1'
_space_group_IT_number 8
_cell_length_a 11.202
_cell_length_b 7.755
_cell_length_c 7.483
_cell_angle_alpha 90.00
_cell_angle_beta 127.77
_cell_angle_gamma 90.00
loop_
_space_group_symop_operation_xyz
'x,y,z'
'x,-y,z'
'x+1/2,y+1/2,z'
'x+1/2,-y+1/2,z'
loop_
_atom_site_label
_atom_site_type_symbol
_atom_site_fract_x
_atom_site_fract_y
_atom_site_fract_z
Ba1 Ba 0.000 0.000 0.000
Ba2 Ba 0.016 0.500 0.340
Sn1 Sn 0.401 0.500 0.393
Hg1 Hg 0.100 0.500 0.943
Hg2 Hg 0.206 0.194 0.812
Hg3 Hg 0.311 0.190 0.523
```

Spin magnetization (μB/f.u.): 0.00

--- ii ---
Here is a geometry-optimized Ba2SnHg5 structure from Alexandria via LeMat-Bulk. Energies are from GGA-PBE.

```
data_Ba2SnHg5
_chemical_formula_sum 'Ba8 Sn4 Hg20'
_space_group_name_H-M_alt 'C m c m'
_space_group_IT_number 63
_space_group_name_Hall '-C 2c 2'
_cell_length_a 5.319
_cell_length_b 18.707
_cell_length_c 10.197
_cell_angle_alpha 90.00
_cell_angle_beta 90.00
_cell_angle_gamma 90.00
loop_
_atom_site_label
_atom_site_type_symbol
_atom_site_fract_x
_atom_site_fract_y
_atom_site_fract_z
Ba1 Ba 0.000 0.000 0.000
Ba2 Ba 0.000 0.210 0.250
Sn1 Sn 0.000 0.440 0.750
Hg1 Hg 0.000 0.188 0.602
Hg2 Hg 0.000 0.351 0.521
Hg3 Hg 0.000 0.407 0.250
```

Spin magnetization (μB/f.u.): 0.00

Which structure loses on stability? i does.

--- i ---
Here is a geometry-optimized BaSn4Hg structure from Alexandria via LeMat-Bulk. Energies are from GGA-PBE.

```
data_BaSn4Hg
_chemical_formula_sum 'Ba4 Sn16 Hg4'
_space_group_name_H-M_alt 'F -4 3 m'
_space_group_IT_number 216
_space_group_name_Hall 'F -4 2 3'
_cell_length_a 9.026
_cell_length_b 9.026
_cell_length_c 9.026
_cell_angle_alpha 90.00
_cell_angle_beta 90.00
_cell_angle_gamma 90.00
loop_
_atom_site_label
_atom_site_type_symbol
_atom_site_fract_x
_atom_site_fract_y
_atom_site_fract_z
Ba1 Ba 0.000 0.000 0.000
Sn1 Sn 0.124 0.124 0.376
Hg1 Hg 0.250 0.250 0.750
```

Spin magnetization (μB/f.u.): 0.00

--- ii ---
Here is a geometry-optimized BaSn4Hg structure from Alexandria via LeMat-Bulk. Energies are from GGA-PBE.

```
data_BaSn4Hg
_chemical_formula_sum 'Ba2 Sn8 Hg2'
_space_group_name_H-M_alt 'P -1'
_space_group_IT_number 2
_cell_length_a 6.629
_cell_length_b 6.694
_cell_length_c 9.044
_cell_angle_alpha 87.42
_cell_angle_beta 87.19
_cell_angle_gamma 73.93
loop_
_space_group_symop_operation_xyz
'x,y,z'
'-x,-y,-z'
loop_
_atom_site_label
_atom_site_type_symbol
_atom_site_fract_x
_atom_site_fract_y
_atom_site_fract_z
Ba1 Ba 0.206 0.196 0.043
Sn1 Sn 0.084 0.467 0.659
Sn2 Sn 0.304 0.684 0.212
Sn3 Sn 0.332 0.674 0.862
Sn4 Sn 0.384 0.035 0.650
Hg1 Hg 0.000 0.000 0.500
Hg2 Hg 0.500 0.500 0.500
```

Spin magnetization (μB/f.u.): 0.00

Which structure loses on stability? ii does.

--- i ---
Here is a geometry-optimized BaSn2Hg4 structure from Alexandria via LeMat-Bulk. Energies are from GGA-PBE.

```
data_BaSn2Hg4
_chemical_formula_sum 'Ba2 Sn4 Hg8'
_space_group_name_H-M_alt 'C m m m'
_space_group_IT_number 65
_space_group_name_Hall '-C 2 2'
_cell_length_a 5.675
_cell_length_b 14.828
_cell_length_c 4.974
_cell_angle_alpha 90.00
_cell_angle_beta 90.00
_cell_angle_gamma 90.00
loop_
_atom_site_label
_atom_site_type_symbol
_atom_site_fract_x
_atom_site_fract_y
_atom_site_fract_z
Ba1 Ba 0.000 0.000 0.000
Sn1 Sn 0.000 0.401 0.500
Hg1 Hg 0.000 0.168 0.500
Hg2 Hg 0.000 0.292 0.000
```

Spin magnetization (μB/f.u.): 0.00

--- ii ---
Here is a geometry-optimized BaSn2Hg4 structure from Alexandria via LeMat-Bulk. Energies are from GGA-PBE.

```
data_BaSn2Hg4
_chemical_formula_sum 'Ba1 Sn2 Hg4'
_space_group_name_H-M_alt 'P -1'
_space_group_IT_number 2
_cell_length_a 4.874
_cell_length_b 5.120
_cell_length_c 9.449
_cell_angle_alpha 101.60
_cell_angle_beta 94.20
_cell_angle_gamma 113.92
loop_
_space_group_symop_operation_xyz
'x,y,z'
'-x,-y,-z'
loop_
_atom_site_label
_atom_site_type_symbol
_atom_site_fract_x
_atom_site_fract_y
_atom_site_fract_z
Ba1 Ba 0.000 0.000 0.000
Sn1 Sn 0.156 0.287 0.438
Hg1 Hg 0.263 0.540 0.798
Hg2 Hg 0.433 0.861 0.287
```

Spin magnetization (μB/f.u.): 0.00

Which structure loses on stability? i does.

--- i ---
Here is a geometry-optimized Ba2SnHg3 structure from Alexandria via LeMat-Bulk. Energies are from GGA-PBE.

```
data_Ba2SnHg3
_chemical_formula_sum 'Ba16 Sn8 Hg24'
_space_group_name_H-M_alt 'F m m m'
_space_group_IT_number 69
_space_group_name_Hall '-F 2 2'
_cell_length_a 8.580
_cell_length_b 10.427
_cell_length_c 18.011
_cell_angle_alpha 90.00
_cell_angle_beta 90.00
_cell_angle_gamma 90.00
loop_
_atom_site_label
_atom_site_type_symbol
_atom_site_fract_x
_atom_site_fract_y
_atom_site_fract_z
Ba1 Ba 0.239 0.000 0.000
Ba2 Ba 0.250 0.250 0.250
Sn1 Sn 0.000 0.000 0.336
Hg1 Hg 0.000 0.000 0.168
Hg2 Hg 0.000 0.247 0.416
```

Spin magnetization (μB/f.u.): 0.00

--- ii ---
Here is a geometry-optimized Ba2SnHg3 structure from Alexandria via LeMat-Bulk. Energies are from GGA-PBE.

```
data_Ba2SnHg3
_chemical_formula_sum 'Ba4 Sn2 Hg6'
_space_group_name_H-M_alt 'C 1 m 1'
_space_group_IT_number 8
_cell_length_a 12.279
_cell_length_b 5.198
_cell_length_c 8.372
_cell_angle_alpha 90.00
_cell_angle_beta 132.59
_cell_angle_gamma 90.00
loop_
_space_group_symop_operation_xyz
'x,y,z'
'x,-y,z'
'x+1/2,y+1/2,z'
'x+1/2,-y+1/2,z'
loop_
_atom_site_label
_atom_site_type_symbol
_atom_site_fract_x
_atom_site_fract_y
_atom_site_fract_z
Ba1 Ba 0.000 0.000 0.000
Ba2 Ba 0.067 0.000 0.578
Sn1 Sn 0.196 0.500 0.399
Hg1 Hg 0.205 0.500 0.016
Hg2 Hg 0.371 0.000 0.590
Hg3 Hg 0.372 0.000 0.168
```

Spin magnetization (μB/f.u.): 0.00

Which structure loses on stability? i does.